Below is crystalline Fe2CuH at its relaxed geometry, with properties calculated at the GGA-PBE level.

Its energy above the most stable polymorph in this dataset is 0.00 kcal/mol of atoms.

The structure belongs to space group Cm (No. 8); the cell edges are 4.4434, 2.5664 and 6.7029 Å and the angles 90.00°, 102.48° and 90.00°. The inequivalent atoms are Fe at (0.0000, 0.0000, 0.0000), Fe at (0.2164, 0.0000, 0.6491), Cu at (0.2757, 0.5000, 0.3246) and H at (0.1077, 0.5000, 0.8228).

Below is crystalline BeZnSb3 at its relaxed geometry, with properties calculated at the GGA-PBE level.

The formation energy (no corrections) is 2.7 eV per formula unit. Its energy above the most stable polymorph in this dataset is 0.00 kcal/mol of atoms.

The structure belongs to space group Pm-3m (No. 221); the cell edges are 4.9462, 4.9462 and 4.9462 Å and the angles 90.00°, 90.00° and 90.00°. The inequivalent atoms are Be at (0.0000, 0.0000, 0.0000), Zn at (0.5000, 0.5000, 0.5000) and Sb at (0.0000, 0.0000, 0.5000).

Below is crystalline NdTlAgPd at its relaxed geometry, with properties calculated at the GGA-PBE level.

The value obtained for the formation enthalpy at 0 K is -0.38 eV per atom.

The structure belongs to space group F-43m (No. 216); the cell edges are 7.0993, 7.0993 and 7.0993 Å and the angles 90.00°, 90.00° and 90.00°. The inequivalent atoms are Nd at (0.0000, 0.0000, 0.0000), Tl at (0.0000, 0.0000, 0.5000), Ag at (0.2500, 0.2500, 0.2500) and Pd at (0.2500, 0.2500, 0.7500).

Below is crystalline Hg3PC at its relaxed geometry, with properties calculated at the GGA-PBE level.

The value obtained for the formation enthalpy at 0 K is 1.26 eV per atom. Its energy above the most stable polymorph in this dataset is 0.00 kcal/mol of atoms.

The structure belongs to space group Pm-3m (No. 221); the cell edges are 4.6604, 4.6604 and 4.6604 Å and the angles 90.00°, 90.00° and 90.00°. The inequivalent atoms are Hg at (0.0000, 0.0000, 0.5000), P at (0.5000, 0.5000, 0.5000) and C at (0.0000, 0.0000, 0.0000).

It is found that the density of states at the Fermi level values, taken in the order of the records, are 5.234; 3.889; 15.430; 4.230 states/eV/cell.
It is found that the volume values, taken in the order of the records, are 37.32; 121.01; 89.45; 101.22 Å³/f.u..